1.
! InCuAs2 GGA-PBE relaxed; values from VASP
&SYSTEM
  ibrav = 0, nat = 8, ntyp = 3
/
ATOMIC_SPECIES
In 114.82 In.upf
Cu 63.55 Cu.upf
As 74.92 As.upf
ATOMIC_POSITIONS crystal
In 0.000 0.000 0.000
In 0.750 0.250 0.500
Cu 0.250 0.750 0.500
Cu 0.500 0.500 0.000
As 0.175 0.625 0.050
As 0.375 0.425 0.550
As 0.575 0.125 0.950
As 0.875 0.825 0.450
CELL_PARAMETERS angstrom
-2.901 2.901 5.844
2.901 -2.901 5.844
2.901 2.901 -5.844
! * volume: 197 Å³ per cell
! * calculated formation energy: 67 meV/atom

2.
! Y2ZrGaAg GGA-PBE relaxed; values from VASP
&SYSTEM
  ibrav = 0, nat = 5, ntyp = 4
/
ATOMIC_SPECIES
Y 88.91 Y.upf
Zr 91.22 Zr.upf
Ga 69.72 Ga.upf
Ag 107.87 Ag.upf
ATOMIC_POSITIONS crystal
Y 0.000 0.500 0.000
Y 0.500 0.000 0.000
Zr 0.000 0.000 0.500
Ga 0.500 0.500 0.000
Ag 0.500 0.500 0.500
CELL_PARAMETERS angstrom
5.471 0.000 0.000
0.000 5.471 0.000
0.000 0.000 4.740
! * volume: 142 Å³ per cell
! * calculated formation energy: 389 meV/atom